! BaW2Au PBE relaxed; values from VASP
&SYSTEM
  ibrav = 0, nat = 4, ntyp = 3
/
ATOMIC_SPECIES
Ba 137.33 Ba.upf
W 183.84 W.upf
Au 196.97 Au.upf
ATOMIC_POSITIONS angstrom
Ba 0.0000 0.0000 0.0000
W 2.0639 0.0000 2.6339
W 0.0000 2.0639 2.6339
Au 0.0000 0.0000 5.2679
CELL_PARAMETERS angstrom
-2.0639 2.0639 5.2679
2.0639 -2.0639 5.2679
2.0639 2.0639 -5.2679
! - crystal system = tetragonal
! - energy relative to the elements (eV/atom) = 1.437
! - SG = No. 139
! - polymorph energy (0 for the lowest one) (meV/atom) = 922


! La2PmNdBi4 PBE relaxed; values from VASP
&SYSTEM
  ibrav = 0, nat = 8, ntyp = 4
/
ATOMIC_SPECIES
La 138.91 La.upf
Pm 145.00 Pm.upf
Nd 144.24 Nd.upf
Bi 208.98 Bi.upf
ATOMIC_POSITIONS angstrom
La 0.0000 0.0000 0.0000
La -1.3424 2.3268 3.7966
Pm 2.6824 0.0000 3.7966
Nd 4.0248 2.3268 0.0000
Bi 0.0346 0.0000 5.7002
Bi 1.3777 2.3268 1.9181
Bi 5.3303 0.0000 1.8929
Bi 3.9872 2.3268 5.6750
CELL_PARAMETERS angstrom
8.0496 0.0000 0.0000
0.0000 4.6537 0.0000
-2.6847 0.0000 7.5932
! - crystal system = monoclinic
! - energy relative to the elements (eV/atom) = -1.001
! - SG = No. 10


! NiAgP3 PBE relaxed; values from VASP
&SYSTEM
  ibrav = 0, nat = 5, ntyp = 3
/
ATOMIC_SPECIES
Ni 58.69 Ni.upf
Ag 107.87 Ag.upf
P 30.97 P.upf
ATOMIC_POSITIONS angstrom
Ni 0.0000 0.0000 0.0000
Ag 2.2237 2.2237 2.2237
P 0.0000 0.0000 2.2237
P 0.0000 2.2237 0.0000
P 2.2237 0.0000 0.0000
CELL_PARAMETERS angstrom
4.4474 0.0000 0.0000
0.0000 4.4474 0.0000
0.0000 0.0000 4.4474
! - crystal system = cubic
! - energy relative to the elements (eV/atom) = 0.665
! - SG = No. 221


! Dy4BBr5 PBE relaxed; values from VASP
&SYSTEM
  ibrav = 0, nat = 10, ntyp = 3
/
ATOMIC_SPECIES
Dy 162.50 Dy.upf
B 10.81 B.upf
Br 79.90 Br.upf
ATOMIC_POSITIONS angstrom
Dy -0.5205 0.0000 2.3306
Dy 5.6439 0.0000 3.3945
Dy 10.4760 0.0000 4.5817
Dy 16.6404 0.0000 5.6456
B 8.0599 0.0000 3.9881
Br 1.4480 0.0000 6.6761
Br 2.4772 0.0000 2.6517
Br 8.9692 0.0000 0.0000
Br 13.6426 0.0000 5.3245
Br 14.6718 0.0000 1.3002
CELL_PARAMETERS angstrom
8.9692 -1.9551 0.0000
8.9692 1.9551 0.0000
-1.8185 0.0000 7.9763
! - crystal system = monoclinic
! - energy relative to the elements, uncorrected (eV per atom) = -1.40
! - SG = No. 12
! - polymorph energy (0 for the lowest one) (meV/atom) = 0


! PmPr5Dy2Sc PBE relaxed; values from VASP
&SYSTEM
  ibrav = 0, nat = 18, ntyp = 4
/
ATOMIC_SPECIES
Pm 145.00 Pm.upf
Pr 140.91 Pr.upf
Dy 162.50 Dy.upf
Sc 44.96 Sc.upf
ATOMIC_POSITIONS angstrom
Pm 2.7129 8.7864 7.7677
Pm 2.7129 -8.7864 2.5892
Pr 0.0000 0.0000 0.0000
Pr 0.0000 0.0000 5.1785
Pr 2.7129 8.2290 2.5892
Pr 2.7129 6.1368 5.8225
Pr 2.7129 6.1368 9.7130
Pr 2.7129 0.0352 7.7677
Pr 2.7129 -0.0352 2.5892
Pr 2.7129 -6.1368 0.6440
Pr 2.7129 -6.1368 4.5345
Pr 2.7129 -8.2290 7.7677
Dy 2.7129 2.5583 0.0223
Dy 2.7129 2.5583 5.1562
Dy 2.7129 -2.5583 5.2008
Dy 2.7129 -2.5583 10.3347
Sc 2.7129 4.7168 2.5892
Sc 2.7129 -4.7168 7.7677
CELL_PARAMETERS angstrom
2.7129 -11.0246 0.0000
2.7129 11.0246 0.0000
0.0000 0.0000 10.3570
! - crystal system = orthorhombic
! - energy relative to the elements (eV/atom) = 0.125
! - SG = No. 63


! CeMnCl6 PBE relaxed; values from VASP
&SYSTEM
  ibrav = 0, nat = 8, ntyp = 3
/
ATOMIC_SPECIES
Ce 140.12 Ce.upf
Mn 54.94 Mn.upf
Cl 35.45 Cl.upf
ATOMIC_POSITIONS angstrom
Ce 0.0000 0.0000 0.0000
Mn 2.2573 0.0000 3.0605
Cl 1.2149 1.7431 1.6335
Cl 0.2126 0.0000 4.5572
Cl 1.2149 -1.7431 1.6335
Cl 3.2997 1.7431 4.4875
Cl 4.3020 0.0000 1.5638
Cl 3.2997 -1.7431 4.4875
CELL_PARAMETERS angstrom
3.2082 -6.1349 0.0000
3.2082 6.1349 0.0000
-1.9018 0.0000 6.1210
! - crystal system = monoclinic
! - energy relative to the elements, uncorrected (eV per atom) = -1.60
! - SG = No. 12


! TlHgSb2 PBE relaxed; values from VASP
&SYSTEM
  ibrav = 0, nat = 4, ntyp = 3
/
ATOMIC_SPECIES
Tl 204.38 Tl.upf
Hg 200.59 Hg.upf
Sb 121.76 Sb.upf
ATOMIC_POSITIONS angstrom
Tl 0.0000 0.0000 0.0000
Hg 1.9466 1.9466 2.1066
Sb 0.0000 0.0000 4.3138
Sb 1.9466 1.9466 5.6941
CELL_PARAMETERS angstrom
3.8932 0.0000 0.0000
0.0000 3.8932 0.0000
0.0000 0.0000 7.9907
! - crystal system = tetragonal
! - energy relative to the elements, uncorrected (eV per atom) = 0.04
! - SG = No. 99
! - polymorph energy (0 for the lowest one) (meV/atom) = 0


! LaPrRu PBE relaxed; values from VASP
&SYSTEM
  ibrav = 0, nat = 3, ntyp = 3
/
ATOMIC_SPECIES
La 138.91 La.upf
Pr 140.91 Pr.upf
Ru 101.07 Ru.upf
ATOMIC_POSITIONS angstrom
La 0.0000 0.0000 0.0000
Pr 0.0000 0.0000 10.5601
Ru 0.0000 0.0000 5.2930
CELL_PARAMETERS angstrom
-1.7667 1.7667 6.9970
1.7667 -1.7667 6.9970
1.7667 1.7667 -6.9970
! - crystal system = tetragonal
! - energy relative to the elements (eV/atom) = -0.144
! - SG = No. 107
! - polymorph energy (0 for the lowest one) (meV/atom) = 56


! BaV12S16 PBE relaxed; values from VASP
&SYSTEM
  ibrav = 0, nat = 29, ntyp = 3
/
ATOMIC_SPECIES
Ba 137.33 Ba.upf
V 50.94 V.upf
S 32.06 S.upf
ATOMIC_POSITIONS angstrom
Ba 0.0000 0.0000 0.0000
V -1.1634 0.0000 3.8422
V 5.1783 1.5613 0.9006
V -0.6325 0.0000 7.0388
V 5.8051 1.6057 4.0251
V 1.8308 0.0000 5.0255
V 11.9621 1.5517 3.0101
V 5.1783 -1.5613 0.9006
V 7.9992 0.0000 3.8767
V 8.4905 0.0000 7.0194
V 5.8051 -1.6057 4.0251
V 11.0061 0.0000 4.9738
V 11.9621 -1.5517 3.0101
S -2.7049 0.0000 5.5478
S 3.5086 1.6172 5.2271
S 1.1620 0.0000 2.8286
S 7.3661 1.5995 2.2923
S 1.6440 0.0000 7.5160
S 4.5613 0.0000 2.6554
S 9.1762 1.6204 5.2963
S 12.0719 1.6113 0.4148
S 6.4301 0.0000 5.5907
S 3.5086 -1.6172 5.2271
S 10.2680 0.0000 2.7641
S 7.3661 -1.5995 2.2923
S 10.7329 0.0000 7.5266
S 13.7893 0.0000 2.6303
S 9.1762 -1.6204 5.2963
S 12.0719 -1.6113 0.4148
CELL_PARAMETERS angstrom
9.1754 -3.2405 0.0000
9.1754 3.2405 0.0000
-4.5934 0.0000 7.9521
! - crystal system = monoclinic
! - energy relative to the elements, uncorrected (eV per atom) = -1.09
! - SG = No. 8


! KHSO4 PBE relaxed; values from VASP
&SYSTEM
  ibrav = 0, nat = 112, ntyp = 4
/
ATOMIC_SPECIES
K 39.10 K.upf
H 1.01 H.upf
S 32.06 S.upf
O 16.00 O.upf
ATOMIC_POSITIONS angstrom
K 0.9958 1.8017 2.4144
K 0.9958 3.2020 12.0951
K 1.0595 1.8187 17.0593
K 1.0595 3.1850 7.3786
K 3.1858 6.8224 17.0593
K 3.1858 8.1887 7.3786
K 3.2494 6.8054 2.4144
K 3.2494 8.2057 12.0951
K 5.2410 1.8017 7.2663
K 5.2410 3.2020 16.9470
K 5.3047 1.8187 11.9828
K 5.3047 3.1850 2.3021
K 7.4310 6.8224 11.9828
K 7.4310 8.1887 2.3021
K 7.4946 6.8054 7.2663
K 7.4946 8.2057 16.9470
H 0.7496 5.9883 0.0143
H 0.7496 9.0227 9.6950
H 1.9527 5.6312 5.3274
H 1.9527 9.3799 15.0082
H 2.2925 0.6275 5.3274
H 2.2925 4.3762 15.0082
H 3.4956 0.9847 0.0143
H 3.4956 4.0190 9.6950
H 4.9948 5.9883 9.6665
H 4.9948 9.0227 19.3472
H 6.1979 5.6312 4.3533
H 6.1979 9.3799 14.0340
H 6.5377 0.6275 4.3533
H 6.5377 4.3762 14.0340
H 7.7409 0.9847 9.6665
H 7.7409 4.0190 19.3472
S 0.1441 0.1978 5.6812
S 0.1441 4.8059 15.3619
S 2.0722 0.7661 9.7375
S 2.0722 4.2376 0.0567
S 2.1730 5.7698 9.7375
S 2.1730 9.2413 0.0567
S 4.1011 5.2015 5.6812
S 4.1011 9.8096 15.3619
S 4.3893 0.1978 3.9996
S 4.3893 4.8059 13.6803
S 6.3175 0.7661 19.3047
S 6.3175 4.2376 9.6240
S 6.4182 5.7698 19.3047
S 6.4182 9.2413 9.6240
S 8.3464 5.2015 3.9996
S 8.3464 9.8096 13.6803
O 0.5509 5.0175 5.3101
O 0.5509 9.9935 14.9908
O 0.6575 6.0655 15.8918
O 0.6575 8.9455 6.2111
O 0.6596 5.9967 3.0788
O 0.6596 9.0144 12.7595
O 0.7645 1.4647 9.7621
O 0.7645 3.5390 0.0814
O 1.3917 1.1339 5.3443
O 1.3917 3.8698 15.0250
O 1.4094 5.9872 10.9646
O 1.4094 9.0239 1.2838
O 1.4243 6.0391 8.5102
O 1.4243 8.9720 18.1909
O 1.7510 5.8059 0.0193
O 1.7510 9.2052 9.7000
O 2.4942 0.8022 0.0193
O 2.4942 4.2015 9.7000
O 2.8209 1.0354 8.5102
O 2.8209 3.9683 18.1909
O 2.8359 0.9835 10.9646
O 2.8359 4.0202 1.2838
O 2.8536 6.1376 5.3443
O 2.8536 8.8735 15.0250
O 3.4807 6.4684 9.7621
O 3.4807 8.5427 0.0814
O 3.5856 0.9930 3.0788
O 3.5856 4.0107 12.7595
O 3.5877 1.0619 15.8918
O 3.5877 3.9418 6.2111
O 3.6943 0.0138 5.3101
O 3.6943 4.9898 14.9908
O 4.7962 5.0175 4.3706
O 4.7962 9.9935 14.0513
O 4.9027 6.0655 13.1504
O 4.9027 8.9455 3.4697
O 4.9048 5.9967 6.6019
O 4.9048 9.0144 16.2827
O 5.0098 1.4647 19.2800
O 5.0098 3.5390 9.5993
O 5.6369 1.1339 4.3365
O 5.6369 3.8698 14.0172
O 5.6546 5.9872 18.0776
O 5.6546 9.0239 8.3969
O 5.6695 6.0391 1.1706
O 5.6695 8.9720 10.8513
O 5.9962 5.8059 9.6614
O 5.9962 9.2052 19.3421
O 6.7395 0.8022 9.6614
O 6.7395 4.2015 19.3421
O 7.0661 1.0354 1.1706
O 7.0661 3.9683 10.8513
O 7.0811 0.9835 18.0776
O 7.0811 4.0202 8.3969
O 7.0988 6.1376 4.3365
O 7.0988 8.8735 14.0172
O 7.7259 6.4684 19.2800
O 7.7259 8.5427 9.5993
O 7.8309 0.9930 6.6019
O 7.8309 4.0107 16.2827
O 7.8330 1.0619 13.1504
O 7.8330 3.9418 3.4697
O 7.9395 0.0138 4.3706
O 7.9395 4.9898 14.0513
CELL_PARAMETERS angstrom
8.4905 0.0000 0.0000
0.0000 10.0074 0.0000
0.0000 0.0000 19.3615
! - crystal system = orthorhombic
! - SG = No. 61
! - polymorph energy (0 for the lowest one) (meV/atom) = 0


! DyHfTl2 PBE relaxed; values from VASP
&SYSTEM
  ibrav = 0, nat = 4, ntyp = 3
/
ATOMIC_SPECIES
Dy 162.50 Dy.upf
Hf 178.49 Hf.upf
Tl 204.38 Tl.upf
ATOMIC_POSITIONS angstrom
Dy 0.0000 0.0000 0.0000
Hf 3.6783 3.6783 3.6783
Tl 1.8392 1.8392 1.8392
Tl 5.5175 5.5175 5.5175
CELL_PARAMETERS angstrom
0.0000 3.6783 3.6783
3.6783 0.0000 3.6783
3.6783 3.6783 0.0000
! - crystal system = cubic
! - energy relative to the elements (eV/atom) = 0.006
! - SG = No. 225
! - polymorph energy (0 for the lowest one) (meV/atom) = 72


! MgTe3 PBE relaxed; values from VASP
&SYSTEM
  ibrav = 0, nat = 4, ntyp = 2
/
ATOMIC_SPECIES
Mg 24.30 Mg.upf
Te 127.60 Te.upf
ATOMIC_POSITIONS angstrom
Mg 0.0000 0.0000 0.0000
Te 3.0007 2.4911 2.2075
Te 3.0007 0.0000 0.0000
Te 3.0007 -2.4911 2.2075
CELL_PARAMETERS angstrom
3.0007 -4.5149 0.0000
3.0007 4.5149 0.0000
0.0000 0.0000 4.4151
! - crystal system = orthorhombic
! - energy relative to the elements, uncorrected (eV per atom) = -0.21
! - SG = No. 65


! Sc2MnHgH PBE relaxed; values from VASP
&SYSTEM
  ibrav = 0, nat = 5, ntyp = 4
/
ATOMIC_SPECIES
Sc 44.96 Sc.upf
Mn 54.94 Mn.upf
Hg 200.59 Hg.upf
H 1.01 H.upf
ATOMIC_POSITIONS angstrom
Sc 0.0000 2.2904 0.0000
Sc 2.2904 0.0000 0.0000
Mn 0.0000 0.0000 1.8821
Hg 2.2904 2.2904 1.8821
H 0.0000 0.0000 0.0000
CELL_PARAMETERS angstrom
4.5808 0.0000 0.0000
0.0000 4.5808 0.0000
0.0000 0.0000 3.7642
! - crystal system = tetragonal
! - total DFT energy (no corrections) (eV per formula unit) = -26.69
! - SG = No. 123


! K2SbMo4 PBE relaxed; values from VASP
&SYSTEM
  ibrav = 0, nat = 7, ntyp = 3
/
ATOMIC_SPECIES
K 39.10 K.upf
Sb 121.76 Sb.upf
Mo 95.94 Mo.upf
ATOMIC_POSITIONS angstrom
K 0.0000 0.0000 2.5174
K 0.0000 0.0000 14.9856
Sb 0.0000 0.0000 8.7515
Mo 2.5537 0.0000 0.0000
Mo 0.0000 0.0000 6.1007
Mo 0.0000 2.5537 0.0000
Mo 0.0000 0.0000 11.4023
CELL_PARAMETERS angstrom
-2.5537 2.5537 8.7515
2.5537 -2.5537 8.7515
2.5537 2.5537 -8.7515
! - crystal system = tetragonal
! - energy relative to the elements, uncorrected (eV per atom) = 2.23
! - SG = No. 139


! ZrMn2Te PBE relaxed; values from VASP
&SYSTEM
  ibrav = 0, nat = 4, ntyp = 3
/
ATOMIC_SPECIES
Zr 91.22 Zr.upf
Mn 54.94 Mn.upf
Te 127.60 Te.upf
ATOMIC_POSITIONS angstrom
Zr 0.0000 0.0000 0.0000
Mn 0.0000 0.0000 6.2344
Mn 0.0000 0.0000 18.8830
Te 0.0000 0.0000 12.5587
CELL_PARAMETERS angstrom
1.6489 0.9520 8.3725
-1.6489 0.9520 8.3725
0.0000 -1.9039 8.3725
! - crystal system = trigonal
! - energy relative to the elements, uncorrected (eV per atom) = 0.30
! - SG = No. 166


! LiSc2Sn PBE relaxed; values from VASP
&SYSTEM
  ibrav = 0, nat = 4, ntyp = 3
/
ATOMIC_SPECIES
Li 6.94 Li.upf
Sc 44.96 Sc.upf
Sn 118.71 Sn.upf
ATOMIC_POSITIONS angstrom
Li 0.0000 0.0000 0.0000
Sc 0.0000 0.0000 2.9999
Sc 0.0000 0.0000 29.8168
Sn 0.0000 0.0000 16.4083
CELL_PARAMETERS angstrom
1.6247 0.9380 10.9389
-1.6247 0.9380 10.9389
0.0000 -1.8760 10.9389
! - crystal system = trigonal
! - energy relative to the elements (eV/atom) = 0.013
! - SG = No. 166


! Sr2HoNpAs4 PBE relaxed; values from VASP
&SYSTEM
  ibrav = 0, nat = 8, ntyp = 4
/
ATOMIC_SPECIES
Sr 87.62 Sr.upf
Ho 164.93 Ho.upf
Np 237.00 Np.upf
As 74.92 As.upf
ATOMIC_POSITIONS angstrom
Sr 0.0000 0.0000 0.0000
Sr 3.6536 2.1332 0.0000
Ho -1.2186 2.1332 3.5531
Np 2.4351 0.0000 3.5531
As 0.0724 0.0000 5.0941
As 1.2650 2.1332 2.0302
As 3.6051 2.1332 5.0761
As 4.7977 0.0000 2.0121
CELL_PARAMETERS angstrom
7.3073 0.0000 0.0000
0.0000 4.2664 0.0000
-2.4371 0.0000 7.1062
! - crystal system = monoclinic
! - energy relative to the elements (eV/atom) = -1.081
! - SG = No. 10


! CaCeTcO6 PBE relaxed; values from VASP
&SYSTEM
  ibrav = 0, nat = 18, ntyp = 4
/
ATOMIC_SPECIES
Ca 40.08 Ca.upf
Ce 140.12 Ce.upf
Tc 98.00 Tc.upf
O 16.00 O.upf
ATOMIC_POSITIONS angstrom
Ca 0.0000 0.0000 0.0000
Ca 0.0000 0.0000 4.8081
Ce 0.0000 3.2265 2.4040
Ce 2.7943 1.6133 7.2121
Tc 0.0000 3.2265 7.2121
Tc 2.7943 1.6133 2.4040
O -0.8275 1.8368 6.1448
O -1.6173 3.2047 8.2795
O 0.8275 1.8368 8.2795
O -0.7897 4.6380 6.1448
O 2.0045 0.2017 1.3367
O 1.1770 1.6351 3.4714
O 1.6173 3.2047 6.1448
O 0.7897 4.6380 8.2795
O 3.5840 0.2017 3.4714
O 1.9667 3.0030 1.3367
O 4.4115 1.6351 1.3367
O 3.6218 3.0030 3.4714
CELL_PARAMETERS angstrom
5.5885 0.0000 0.0000
-2.7943 4.8398 0.0000
0.0000 0.0000 9.6162
! - crystal system = trigonal
! - energy relative to the elements, uncorrected (eV per atom) = -2.36
! - SG = No. 163


! TcPb2Se PBE relaxed; values from VASP
&SYSTEM
  ibrav = 0, nat = 4, ntyp = 3
/
ATOMIC_SPECIES
Tc 98.00 Tc.upf
Pb 207.20 Pb.upf
Se 78.96 Se.upf
ATOMIC_POSITIONS angstrom
Tc 0.0000 0.0000 0.0000
Pb 2.1253 0.0000 2.7667
Pb 0.0000 0.0000 5.5333
Se 0.0000 2.1253 2.7667
CELL_PARAMETERS angstrom
-2.1253 2.1253 5.5333
2.1253 -2.1253 5.5333
2.1253 2.1253 -5.5333
! - crystal system = tetragonal
! - energy relative to the elements, uncorrected (eV per atom) = 0.60
! - SG = No. 119
! - polymorph energy (0 for the lowest one) (meV/atom) = 593